Entry 1:
Entry from the Alexandria database: a geometry-optimized Tb4Pm2HoEr2 structure (PBE-GGA).

Cell: 6.787 9.871 6.629 Å, 121.16 126.84 59.23°
Element x y z (fractional)
Tb: 0.619 0.761 0.508
Pm: 0.732 0.342 0.399
Ho: 0.000 0.000 0.000
Tb: 0.261 0.116 0.801
Tb: 0.381 0.239 0.492
Pm: 0.268 0.658 0.601
Er: 0.180 0.555 0.964
Er: 0.820 0.445 0.036
Tb: 0.739 0.884 0.199

For the formation energy, the calculation gives 0.083 eV per atom. The symmetry is P-1 (2). For the total energy, the calculation gives -0.1673 Ha/atom.

***

Entry 2:
Entry from the Alexandria database: a geometry-optimized Y5Ag24 structure (PBE-GGA).

Cell: 9.096 9.096 9.096 Å, 109.47 109.47 109.47°
Element x y z (fractional)
Ag: 0.627 0.816 0.627
Ag: 0.811 0.184 0.811
Ag: 0.325 0.325 0.723
Ag: 0.325 0.723 0.325
Ag: 0.602 0.602 0.277
Ag: 0.000 0.675 0.398
Ag: 0.398 0.000 0.675
Ag: 0.675 0.000 0.398
Ag: 0.723 0.325 0.325
Ag: 0.000 0.398 0.675
Ag: 0.189 0.000 0.373
Y: 0.377 0.377 0.377
Y: 0.000 0.623 0.000
Y: 0.000 0.000 0.000
Ag: 0.189 0.373 0.000
Y: 0.623 0.000 0.000
Ag: 0.373 0.189 0.000
Ag: 0.602 0.277 0.602
Ag: 0.000 0.189 0.373
Ag: 0.675 0.398 0.000
Ag: 0.627 0.627 0.816
Y: 0.000 0.000 0.623
Ag: 0.816 0.627 0.627
Ag: 0.000 0.373 0.189
Ag: 0.184 0.811 0.811
Ag: 0.277 0.602 0.602
Ag: 0.398 0.675 0.000
Ag: 0.373 0.000 0.189
Ag: 0.811 0.811 0.184

For the formation energy, the calculation gives -0.122 eV per atom. The symmetry is I-43m (217). For the total energy, the calculation gives -0.1322 Ha/atom.